{"formula": "PRu2Rh", "functional": "PBE", "state": "relaxed", "spacegroup": "C2/m", "formation_energy_ev_per_atom": 0.28, "magmom_total_mub_per_fu": 0.002, "energy_ev_per_fu": -30.199, "lattice_angstrom": [[4.598, 2.559, -0.008], [-4.598, 2.559, -0.008], [0.000, 1.401, 2.378]], "species": ["Ru", "Ru", "Rh", "P"], "frac_coords": [[0.500, 0.000, 0.000], [0.000, 0.500, 0.000], [0.000, 0.000, 0.500], [0.500, 0.500, 0.500]]}